Model w:
The following is a DFT calculation (PBE-GGA) of TbPmTlPb after structural relaxation.

Cell lengths 5.469, 5.469, 5.469 Å; angles 60.00, 60.00, 60.00 degrees
Atoms (fractional coordinates):
Pb (0.500, 0.500, 0.500)
Tl (0.000, 0.000, 0.000)
Tb (0.250, 0.250, 0.250)
Pm (0.750, 0.750, 0.750)

Properties
Density: 10.27 g cm⁻³
Calculated volume: 28.924 Å³/atom

---

Model x:
The following is a DFT calculation (PBE-GGA) of TbPmTlPb after structural relaxation.

Cell lengths 5.071, 5.071, 5.721 Å; angles 116.31, 116.31, 90.00 degrees
Atoms (fractional coordinates):
Tb (0.250, 0.750, 0.500)
Pm (0.750, 0.250, 0.500)
Tl (0.500, 0.500, 0.000)
Pb (0.000, 0.000, 0.000)

Properties
Density: 10.37 g cm⁻³
Calculated volume: 28.652 Å³/atom

---

Energies in eV/atom, measured from the most stable structure: model w 0.035; model x 0.000.

---

Model w:
The following is a DFT calculation (PBE-GGA) of Pm2TcPb after structural relaxation.

Cell lengths 5.251, 5.251, 5.255 Å; angles 60.03, 60.03, 60.00 degrees
Atoms (fractional coordinates):
Pb (0.000, 0.000, 0.000)
Tc (0.500, 0.500, 0.500)
Pm (0.750, 0.750, 0.749)
Pm (0.250, 0.250, 0.251)

Properties
Density: 9.64 g cm⁻³
Calculated volume: 25.622 Å³/atom

---

Model x:
The following is a DFT calculation (PBE-GGA) of Pm2TcPb after structural relaxation.

Cell lengths 3.562, 3.562, 8.244 Å; angles 90.00, 90.00, 90.00 degrees
Atoms (fractional coordinates):
Pb (0.500, 0.500, 0.500)
Tc (0.500, 0.500, 0.000)
Pm (0.000, 0.000, 0.793)
Pm (0.000, 0.000, 0.207)

Properties
Density: 9.45 g cm⁻³
Calculated volume: 26.152 Å³/atom

---

Energies in eV/atom, measured from the most stable structure: model w 0.109; model x 0.000.

---

Model w:
The following is a DFT calculation (PBE-GGA) of Pm4Te3Pb after structural relaxation.

Cell lengths 6.346, 6.346, 6.346 Å; angles 90.00, 90.00, 90.00 degrees
Atoms (fractional coordinates):
Pb (0.000, 0.000, 0.000)
Te (0.000, 0.500, 0.500)
Te (0.500, 0.000, 0.500)
Te (0.500, 0.500, 0.000)
Pm (0.500, 0.000, 0.000)
Pm (0.000, 0.500, 0.000)
Pm (0.000, 0.000, 0.500)
Pm (0.500, 0.500, 0.500)

Properties
Density: 7.60 g cm⁻³
Calculated volume: 31.939 Å³/atom

---

Model x:
The following is a DFT calculation (PBE-GGA) of Pm4Te3Pb after structural relaxation.

Cell lengths 4.502, 7.784, 7.784 Å; angles 109.54, 90.00, 90.00 degrees
Atoms (fractional coordinates):
Pm (0.000, 0.245, 0.245)
Pm (0.500, 0.753, 0.247)
Pm (0.000, 0.755, 0.755)
Pm (0.500, 0.247, 0.753)
Te (0.000, 0.000, 0.500)
Te (0.500, 0.500, 0.500)
Te (0.000, 0.500, 0.000)
Pb (0.500, 0.000, 0.000)

Properties
Density: 7.56 g cm⁻³
Calculated volume: 32.131 Å³/atom

---

Energies in eV/atom, measured from the most stable structure: model w 0.000; model x 0.016.

---

Model w:
The following is a DFT calculation (PBE-GGA) of Pm4TePb2 after structural relaxation.

Cell lengths 9.305, 9.305, 9.303 Å; angles 119.94, 119.93, 90.12 degrees
Atoms (fractional coordinates):
Pm (0.862, 0.139, 0.276)
Pm (0.388, 0.612, 0.224)
Pm (0.862, 0.586, 0.724)
Pm (0.861, 0.138, 0.724)
Pm (0.414, 0.138, 0.276)
Pm (0.388, 0.164, 0.776)
Pm (0.388, 0.612, 0.776)
Pm (0.836, 0.612, 0.224)
Te (0.250, 0.750, 0.500)
Te (0.000, 0.000, 0.000)
Pb (0.625, 0.375, 0.750)
Pb (0.625, 0.875, 0.250)
Pb (0.625, 0.375, 0.250)
Pb (0.125, 0.375, 0.750)

Properties
Density: 6.54 g cm⁻³
Calculated volume: 40.723 Å³/atom

---

Model x:
The following is a DFT calculation (PBE-GGA) of Pm4TePb2 after structural relaxation.

Cell lengths 8.271, 8.271, 8.271 Å; angles 109.50, 109.41, 109.50 degrees
Atoms (fractional coordinates):
Pm (0.121, 0.891, 0.375)
Pm (0.625, 0.745, 0.515)
Pm (0.980, 0.609, 0.735)
Pm (0.265, 0.245, 0.875)
Pm (0.629, 0.755, 0.020)
Pm (0.770, 0.255, 0.879)
Pm (0.485, 0.109, 0.230)
Pm (0.125, 0.391, 0.371)
Te (0.000, 0.000, 0.000)
Te (0.750, 0.500, 0.250)
Pb (0.875, 0.125, 0.500)
Pb (0.500, 0.375, 0.625)
Pb (0.375, 0.875, 0.750)
Pb (0.250, 0.625, 0.125)

Properties
Density: 8.56 g cm⁻³
Calculated volume: 31.109 Å³/atom

---

Energies in eV/atom, measured from the most stable structure: model w 0.312; model x 0.000.

---

Model w:
The following is a DFT calculation (PBE-GGA) of PmThTePb after structural relaxation.

Cell lengths 4.565, 4.565, 7.735 Å; angles 72.84, 72.84, 60.00 degrees
Atoms (fractional coordinates):
Pm (0.502, 0.502, 0.495)
Th (0.998, 0.998, 0.005)
Te (0.751, 0.751, 0.748)
Pb (0.250, 0.250, 0.251)

Properties
Density: 9.01 g cm⁻³
Calculated volume: 32.812 Å³/atom

---

Model x:
The following is a DFT calculation (PBE-GGA) of PmThTePb after structural relaxation.

Cell lengths 5.508, 5.508, 5.508 Å; angles 60.00, 60.00, 60.00 degrees
Atoms (fractional coordinates):
Pb (0.750, 0.750, 0.750)
Te (0.250, 0.250, 0.250)
Th (0.000, 0.000, 0.000)
Pm (0.500, 0.500, 0.500)

Properties
Density: 10.01 g cm⁻³
Calculated volume: 29.532 Å³/atom

---

Energies in eV/atom, measured from the most stable structure: model w 0.000; model x 0.144.

---

Model w:
The following is a DFT calculation (PBE-GGA) of Pm2TiPb after structural relaxation.

Cell lengths 4.397, 5.022, 5.022 Å; angles 90.00, 90.00, 90.00 degrees
Site moments in Bohr magnetons follow the coordinates.
Atoms (fractional coordinates):
Pb (0.500, 0.000, 0.000)  -0.03
Ti (0.500, 0.500, 0.500)  1.57
Pm (0.000, 0.000, 0.500)  0.18
Pm (0.000, 0.500, 0.000)  0.18

Properties
Density: 8.16 g cm⁻³
Calculated volume: 27.721 Å³/atom

---

Model x:
The following is a DFT calculation (PBE-GGA) of Pm2TiPb after structural relaxation.

Cell lengths 3.372, 3.372, 11.861 Å; angles 81.83, 81.83, 60.00 degrees
Site moments in Bohr magnetons follow the coordinates.
Atoms (fractional coordinates):
Pb (0.500, 0.500, 0.500)  0.00
Ti (0.000, 0.000, 0.000)  1.31
Pm (0.086, 0.086, 0.742)  0.09
Pm (0.914, 0.914, 0.258)  0.09

Properties
Density: 7.85 g cm⁻³
Calculated volume: 28.807 Å³/atom

---

Energies in eV/atom, measured from the most stable structure: model w 0.000; model x 0.407.

---

Model w:
The following is a DFT calculation (PBE-GGA) of Pm5TlPb2 after structural relaxation.

Cell lengths 8.429, 8.429, 9.321 Å; angles 116.88, 116.88, 90.00 degrees
Site moments in Bohr magnetons follow the coordinates.
Atoms (fractional coordinates):
Pm (0.510, 0.687, 0.698)  0.09
Pm (0.813, 0.990, 0.302)  0.09
Pm (0.000, 0.000, 0.000)  0.04
Pm (0.500, 0.500, 0.000)  0.04
Pm (0.187, 0.010, 0.698)  0.09
Pm (0.687, 0.187, 0.698)  0.09
Pm (0.010, 0.510, 0.698)  0.09
Pm (0.313, 0.813, 0.302)  0.09
Pm (0.990, 0.490, 0.302)  0.09
Pm (0.490, 0.313, 0.302)  0.09
Tl (0.750, 0.750, 0.500)  0.01
Tl (0.250, 0.250, 0.500)  0.01
Pb (0.140, 0.360, 0.000)  -0.01
Pb (0.640, 0.140, 0.000)  -0.01
Pb (0.360, 0.860, 0.000)  -0.01
Pb (0.860, 0.640, 0.000)  -0.01

Properties
Density: 8.77 g cm⁻³
Calculated volume: 31.823 Å³/atom

---

Model x:
The following is a DFT calculation (PBE-GGA) of Pm5TlPb2 after structural relaxation.

Cell lengths 7.086, 7.086, 6.931 Å; angles 120.74, 120.74, 90.00 degrees
Atoms (fractional coordinates):
Pm (0.722, 0.222, 0.944)
Pm (0.222, 0.222, 0.944)
Pm (0.722, 0.722, 0.944)
Pm (0.222, 0.722, 0.944)
Pm (0.722, 0.722, 0.444)
Tl (0.222, 0.222, 0.444)
Pb (0.222, 0.722, 0.444)
Pb (0.722, 0.222, 0.444)

Properties
Density: 9.28 g cm⁻³
Calculated volume: 30.064 Å³/atom

---

Energies in eV/atom, measured from the most stable structure: model w 0.000; model x 0.052.

---

Model w:
The following is a DFT calculation (PBE-GGA) of PmTlPb after structural relaxation.

Cell lengths 5.817, 3.639, 9.129 Å; angles 78.50, 90.00, 90.00 degrees
Atoms (fractional coordinates):
Pb (0.750, 0.652, 0.697)
Pb (0.250, 0.348, 0.303)
Tl (0.500, 0.000, 0.000)
Tl (0.000, 0.000, 0.000)
Pm (0.750, 0.831, 0.337)
Pm (0.250, 0.169, 0.663)

Properties
Density: 9.76 g cm⁻³
Calculated volume: 31.559 Å³/atom

---

Model x:
The following is a DFT calculation (PBE-GGA) of PmTlPb after structural relaxation.

Cell lengths 4.336, 4.937, 4.937 Å; angles 120.00, 90.00, 90.00 degrees
Atoms (fractional coordinates):
Pb (0.307, 0.333, 0.667)
Tl (0.013, 0.000, 0.000)
Pm (0.680, 0.667, 0.333)

Properties
Density: 10.10 g cm⁻³
Calculated volume: 30.505 Å³/atom

---

Energies in eV/atom, measured from the most stable structure: model w 0.101; model x 0.000.

---

Model w:
The following is a DFT calculation (PBE-GGA) of PmTlPb after structural relaxation.

Cell lengths 3.891, 3.891, 6.483 Å; angles 107.46, 107.46, 90.00 degrees
Atoms (fractional coordinates):
Pb (0.606, 0.606, 0.212)
Tl (0.957, 0.957, 0.913)
Pm (0.287, 0.287, 0.575)

Properties
Density: 10.40 g cm⁻³
Calculated volume: 29.628 Å³/atom

---

Model x:
The following is a DFT calculation (PBE-GGA) of PmTlPb after structural relaxation.

Cell lengths 4.503, 4.738, 8.675 Å; angles 105.85, 90.00, 90.00 degrees
Atoms (fractional coordinates):
Pm (0.250, 0.092, 0.184)
Pm (0.750, 0.908, 0.816)
Tl (0.250, 0.743, 0.487)
Tl (0.750, 0.257, 0.513)
Pb (0.250, 0.428, 0.857)
Pb (0.750, 0.572, 0.143)

Properties
Density: 10.38 g cm⁻³
Calculated volume: 29.675 Å³/atom

---

Energies in eV/atom, measured from the most stable structure: model w 0.145; model x 0.000.

---

Model w:
The following is a DFT calculation (PBE-GGA) of Pm3TlPb2 after structural relaxation.

Cell lengths 6.545, 6.499, 9.256 Å; angles 100.76, 110.70, 90.00 degrees
Atoms (fractional coordinates):
Pm (0.631, 0.250, 0.000)
Pm (0.369, 0.750, 0.000)
Pm (0.285, 0.101, 0.340)
Pm (0.946, 0.399, 0.660)
Pm (0.054, 0.601, 0.340)
Pm (0.715, 0.899, 0.660)
Tl (0.875, 0.750, 0.000)
Tl (0.125, 0.250, 0.000)
Pb (0.551, 0.569, 0.324)
Pb (0.772, 0.069, 0.324)
Pb (0.228, 0.931, 0.676)
Pb (0.449, 0.431, 0.676)

Properties
Density: 9.70 g cm⁻³
Calculated volume: 30.075 Å³/atom

---

Model x:
The following is a DFT calculation (PBE-GGA) of Pm3TlPb2 after structural relaxation.

Cell lengths 4.821, 11.975, 12.958 Å; angles 90.00, 90.00, 90.00 degrees
Atoms (fractional coordinates):
Pm (0.250, 0.376, 0.034)
Pm (0.750, 0.624, 0.966)
Pm (0.750, 0.876, 0.466)
Pm (0.250, 0.124, 0.534)
Pm (0.250, 0.681, 0.199)
Pm (0.750, 0.319, 0.801)
Pm (0.750, 0.181, 0.301)
Pm (0.250, 0.819, 0.699)
Pm (0.250, 0.426, 0.362)
Pm (0.750, 0.574, 0.638)
Pm (0.750, 0.926, 0.138)
Pm (0.250, 0.074, 0.862)
Tl (0.250, 0.147, 0.153)
Tl (0.750, 0.853, 0.847)
Tl (0.750, 0.647, 0.347)
Tl (0.250, 0.353, 0.653)
Pb (0.250, 0.671, 0.496)
Pb (0.750, 0.329, 0.504)
Pb (0.750, 0.171, 0.004)
Pb (0.250, 0.829, 0.996)
Pb (0.250, 0.962, 0.320)
Pb (0.750, 0.038, 0.680)
Pb (0.750, 0.462, 0.180)
Pb (0.250, 0.538, 0.820)

Properties
Density: 9.36 g cm⁻³
Calculated volume: 31.171 Å³/atom

---

Energies in eV/atom, measured from the most stable structure: model w 0.000; model x 0.021.

---

Model w:
The following is a DFT calculation (PBE-GGA) of Pm5TlPb6 after structural relaxation.

Cell lengths 6.091, 8.804, 9.161 Å; angles 61.28, 76.29, 60.44 degrees
Atoms (fractional coordinates):
Pm (0.500, 0.131, 0.739)
Pm (0.000, 0.319, 0.361)
Pm (0.500, 0.500, 0.000)
Pm (0.000, 0.681, 0.639)
Pm (0.500, 0.869, 0.261)
Tl (0.000, 0.000, 0.000)
Pb (0.690, 0.106, 0.354)
Pb (0.310, 0.541, 0.354)
Pb (0.151, 0.299, 0.000)
Pb (0.849, 0.701, 0.000)
Pb (0.690, 0.459, 0.646)
Pb (0.310, 0.894, 0.646)

Properties
Density: 9.63 g cm⁻³
Calculated volume: 31.232 Å³/atom

---

Model x:
The following is a DFT calculation (PBE-GGA) of Pm5TlPb6 after structural relaxation.

Cell lengths 4.898, 9.349, 9.409 Å; angles 119.79, 105.25, 90.00 degrees
Atoms (fractional coordinates):
Pb (0.171, 0.424, 0.341)
Pb (0.171, 0.917, 0.341)
Pb (0.500, 0.265, 0.000)
Pb (0.500, 0.735, 0.000)
Pb (0.829, 0.083, 0.659)
Pb (0.829, 0.576, 0.659)
Tl (0.000, 0.000, 0.000)
Pm (0.355, 0.855, 0.710)
Pm (0.672, 0.672, 0.344)
Pm (0.000, 0.500, 0.000)
Pm (0.328, 0.328, 0.656)
Pm (0.645, 0.145, 0.290)

Properties
Density: 10.12 g cm⁻³
Calculated volume: 29.695 Å³/atom

---

Energies in eV/atom, measured from the most stable structure: model w 0.039; model x 0.000.